# Tb2Hg3Pd

Tb2Hg3Pd after structural relaxation (PBE, the Alexandria database).

Output
E_form	-3.11	eV/f.u.
energy	-18.473	eV per cell
SG	No. 25
V	23.51	Å³ per atom

abc: 3.4539 4.8162 8.4798
angles: 90.00 90.00 90.00
Last column: nearest neighbours and their distance in Å.
Positions (direct):
Hg: 0.5000 0.0000 0.1689  2 Pd 2.77, 1 Hg 2.85
Hg: 0.5000 0.0000 0.8324  3 Hg 2.83-2.85
Hg: 0.5000 0.5000 0.6565  1 Pd 2.76, 2 Hg 2.83
Tb: 0.0000 0.0000 0.4780  8 Hg 3.14-3.47, 4 Pd 3.22, 2 Tb 3.45
Tb: 0.0000 0.5000 0.0334  2 Pd 3.06, 8 Hg 3.18-3.42
Pd: 0.5000 0.5000 0.3307  3 Hg 2.76-2.77, 2 Tb 3.06